# 1
A geometry-optimized LiCuNi2 structure, computed with GGA-PBEsol.

Output
As for the crystal system: monoclinic. As for the energy of formation from the pure elements: 0.0 eV per formula unit.

Unit cell a=4.809 b=8.162 c=2.406 alpha=90.00 beta=115.33 gamma=90.00
Positions (direct):
Li: 0.000 0.000 0.000
Li: 0.500 0.500 0.000
Cu: 0.000 0.500 0.000
Cu: 0.500 0.000 0.000
Ni: 0.250 0.250 0.500
Ni: 0.250 0.750 0.500
Ni: 0.750 0.250 0.500
Ni: 0.750 0.750 0.500

***

# 2
A geometry-optimized FeCu2Pt structure, computed with GGA-PBEsol.

Output
As for the crystal system: monoclinic. As for the energy of formation from the pure elements: -0.1 eV per formula unit.

Unit cell a=8.609 b=2.626 c=4.460 alpha=90.00 beta=100.32 gamma=90.00
Positions (direct):
Fe: 0.000 0.000 0.000
Fe: 0.500 0.500 0.000
Cu: 0.248 0.500 0.240
Cu: 0.252 0.000 0.760
Cu: 0.748 0.000 0.240
Cu: 0.752 0.500 0.760
Pt: 0.000 0.500 0.500
Pt: 0.500 0.000 0.500

***

# 3
A geometry-optimized NiMoIr2 structure, computed with GGA-PBEsol.

Output
As for the crystal system: tetragonal. As for the energy of formation from the pure elements: -0.9 eV per formula unit.

Unit cell a=3.814 b=3.814 c=7.409 alpha=90.00 beta=90.00 gamma=90.00
Positions (direct):
Ni: 0.000 0.000 0.000
Ni: 0.500 0.500 0.500
Mo: 0.000 0.000 0.500
Mo: 0.500 0.500 0.000
Ir: 0.000 0.500 0.250
Ir: 0.000 0.500 0.750
Ir: 0.500 0.000 0.250
Ir: 0.500 0.000 0.750

***

# 4
A geometry-optimized GaCuPt2S structure, computed with GGA-PBEsol.

Output
As for the crystal system: tetragonal. The calculation puts the formation energy (no corrections) at 4.32 eV/f.u.

Unit cell a=4.582 b=4.582 c=4.348 alpha=90.00 beta=90.00 gamma=90.00
Positions (direct):
Ga: 0.000 0.000 0.000
Cu: 0.000 0.000 0.500
Pt: 0.000 0.500 0.000
Pt: 0.500 0.000 0.000
S: 0.500 0.500 0.500

***

no.,spin magnetization (μB per cell)
1,0.004
2,5.722
3,0.001
4,0.000